A plane-wave DFT calculation with PBE-GGA was carried out for crystalline CoIr2Rh at its relaxed geometry.

Values from the calculation:
Energy above the most stable polymorph in this dataset = 40 meV/atom
Volume = 54.5 Å³ per cell
ΔE_f = 0.050 eV per atom
Final energy = -7.995 eV/atom

a = 4.6276 Å, b = 4.6276 Å, c = 2.6959 Å
α = 90.00°, β = 90.00°, γ = 109.21°
Each line ends with the local moment (μB).
Element x y z (fractional)
1 Ir 0.0000 0.0000 0.0000  0.11
2 Ir 0.5000 0.5000 0.0000  0.11
3 Co 0.0000 0.5000 0.5000  1.23
4 Rh 0.5000 0.0000 0.5000  0.14